## Ac2TcPbO8 (GGA-PBE)

Data for a relaxed Ac2TcPbO8 crystal.

```
Ac2TcPbO8
1.0
4.844 0.000 0.000
-0.348 5.306 0.000
-0.710 -0.078 7.512
Ac Tc Pb O
2 1 1 8
direct
0.118 0.009 0.274
0.882 0.991 0.726
0.500 0.500 0.500
0.500 0.500 0.000
0.200 0.286 0.552
0.207 0.171 0.977
0.300 0.580 0.270
0.360 0.777 0.621
0.640 0.223 0.379
0.700 0.420 0.730
0.793 0.829 0.023
0.800 0.714 0.448
```

## Properties
Its space-group type is P-1, No. 2. As for the density of states at the Fermi level: 2.90 states/eV/cell.

---

## AcTe2PbO8 (GGA-PBE)

Data for a relaxed AcTe2PbO8 crystal.

```
AcTe2PbO8
1.0
6.206 0.000 0.000
-3.103 5.375 0.000
0.000 0.000 7.584
Ac Te Pb O
1 2 1 8
direct
0.000 0.000 0.000
0.333 0.667 0.308
0.667 0.333 0.692
0.000 0.000 0.500
0.165 0.329 0.230
0.165 0.835 0.230
0.329 0.165 0.770
0.333 0.667 0.550
0.667 0.333 0.450
0.671 0.835 0.230
0.835 0.165 0.770
0.835 0.671 0.770
```

## Properties
Its space-group type is P-3m1, No. 164. As for the density of states at the Fermi level: 3.60 states/eV/cell.

---

no.,E_form (uncorrected) (kJ per mole of atoms),DFT total energy (eV per atom)
1,-194.0,-7.174
2,-132.0,-5.848